VASP calculation (PBE-GGA) on a relaxed InCo2CuMo crystal.

Values from the calculation:
- total moment (μB/f.u.) = 0.8
- volume (Å³/f.u.) = 101
- symmetry = P4/mmm (123)
- ΔE_f (eV/atom) = 1.436

Unit cell a=4.3993 b=4.3993 c=5.2421 alpha=90.00 beta=90.00 gamma=90.00
Closest atoms and distances in Å follow each position.
Element x y z (fractional)
In  0.0000  0.0000  0.0000  2 Mo 2.62
Co  0.0000  0.5000  0.5000  2 Mo 2.20
Co  0.5000  0.0000  0.5000  2 Mo 2.20
Cu  0.5000  0.5000  0.0000  4 In 3.11, 8 Co 3.42
Mo  0.0000  0.0000  0.5000  4 Co 2.20



VASP calculation (PBE-GGA) on a relaxed Ba4Cr3 crystal.

Values from the calculation:
- total moment (μB/f.u.) = 12.8
- volume (Å³/f.u.) = 268
- symmetry = P6/mmm (191)
- ΔE_f (eV/atom) = 0.813

Unit cell a=6.5739 b=6.5739 c=7.1529 alpha=90.00 beta=90.00 gamma=120.00
Closest atoms and distances in Å follow each position.
Element x y z (fractional)
Ba  0.0000  0.0000  0.2383  2 Ba 3.41-3.74, 6 Cr 3.70
Ba  0.0000  0.0000  0.7617  2 Ba 3.41-3.74, 6 Cr 3.70
Ba  0.3333  0.6667  0.5000  9 Ba 3.80-4.23, 6 Cr 4.05
Ba  0.6667  0.3333  0.5000  9 Ba 3.80-4.23, 6 Cr 4.05
Cr  0.0000  0.5000  0.0000  4 Cr 3.29
Cr  0.5000  0.0000  0.0000  4 Cr 3.29
Cr  0.5000  0.5000  0.0000  4 Cr 3.29



VASP calculation (PBE-GGA) on a relaxed Tl2CoW crystal.

Values from the calculation:
- total moment (μB/f.u.) = 2.5
- volume (Å³/f.u.) = 74
- symmetry = Fm-3m (225)
- offset from the most stable computed form (meV per atom) = 632
- ΔE_f (eV/atom) = 1.155

Unit cell a=4.7069 b=4.7069 c=4.7069 alpha=60.00 beta=60.00 gamma=60.00
Closest atoms and distances in Å follow each position.
Element x y z (fractional)
Tl  0.2500  0.2500  0.2500  4 W 2.88, 4 Co 2.88
Tl  0.7500  0.7500  0.7500  4 W 2.88, 4 Co 2.88
Co  0.0000  0.0000  0.0000  8 Tl 2.88
W  0.5000  0.5000  0.5000  8 Tl 2.88



What is the ΔE_f in the first record?
1.436 eV/atom



Among the records above, which one has the highest total moment?
Ba4Cr3